(1)
DFT (PBE) results for crystalline Ti2GaP2 at its relaxed geometry.

POSCAR file:
```
Ti2GaP2
1.0
-2.550 -4.313 -4.649
-4.382 -2.423 4.652
-2.176 2.239 -0.884
Ga Ti P
2 4 4
Direct
0.000 0.000 0.000 Ga
0.500 0.500 0.000 Ga
0.850 0.350 0.500 Ti
0.350 0.150 0.500 Ti
0.650 0.850 0.500 Ti
0.150 0.650 0.500 Ti
0.860 0.640 0.000 P
0.640 0.140 0.000 P
0.360 0.860 0.000 P
0.140 0.360 0.000 P
```

Properties
Energy in hartree per atom: -0.2421
Symmetry: P4/mbm, No. 127
Density of states at the Fermi level in states/eV/f.u.: 3.0
Spin magnetization in μB/f.u.: 0.000
DFT formation energy in kcal/mol of atoms: -15.2

(2)
DFT (PBE) results for crystalline Na4CdSn2 at its relaxed geometry.

POSCAR file:
```
Na4CdSn2
1.0
4.524 0.000 0.000
-2.262 5.004 2.154
0.000 5.365 10.988
Sn Na Cd
2 4 1
Direct
0.270 0.539 0.066 Sn
0.730 0.461 0.934 Sn
0.564 0.129 0.648 Na
0.854 0.708 0.205 Na
0.436 0.871 0.352 Na
0.146 0.292 0.795 Na
0.000 0.000 0.500 Cd
```

Properties
Energy in hartree per atom: -0.0788
Symmetry: C2/m, No. 12
Density of states at the Fermi level in states/eV/f.u.: 2.8
Spin magnetization in μB/f.u.: 0.000
DFT formation energy in kcal/mol of atoms: -2.6

(3)
DFT (PBE) results for crystalline Ta2CrMo at its relaxed geometry.

POSCAR file:
```
Ta2CrMo
1.0
-1.649 4.123 -0.645
-2.272 0.947 -3.752
-4.429 0.698 0.175
Ta Cr Mo
2 1 1
Direct
0.750 0.750 0.750 Ta
0.000 0.000 0.000 Ta
0.500 0.500 0.500 Cr
0.250 0.250 0.250 Mo
```

Properties
Energy in hartree per atom: -0.4046
Symmetry: F-43m, No. 216
Density of states at the Fermi level in states/eV/f.u.: 3.0
Spin magnetization in μB/f.u.: 0.000
DFT formation energy in kcal/mol of atoms: 0.7

(4)
DFT (PBE) results for crystalline CaB4C at its relaxed geometry.

POSCAR file:
```
CaB4C
1.0
-2.965 0.387 2.911
0.456 -3.970 1.204
3.381 -1.205 9.851
Ca B C
2 8 2
Direct
0.857 0.857 0.783 Ca
0.143 0.143 0.217 Ca
0.253 0.253 0.862 B
0.535 0.835 0.560 B
0.747 0.747 0.138 B
0.165 0.465 0.440 B
0.465 0.165 0.440 B
0.849 0.151 0.000 B
0.151 0.849 0.000 B
0.835 0.535 0.560 B
0.487 0.487 0.302 C
0.513 0.513 0.698 C
```

Properties
Energy in hartree per atom: -0.2275
Symmetry: C2/m, No. 12
Density of states at the Fermi level in states/eV/f.u.: 1.5
Spin magnetization in μB/f.u.: 0.000
DFT formation energy in kcal/mol of atoms: 3.1

(5)
DFT (PBE) results for crystalline MgAsP2Cl at its relaxed geometry.

POSCAR file:
```
MgAsP2Cl
1.0
-1.081 -2.840 -3.652
2.049 -3.656 2.237
-4.362 -1.122 2.163
P Cl Mg As
2 1 1 1
Direct
0.500 0.000 0.000 P
0.000 0.500 0.000 P
0.000 0.000 0.500 Cl
0.500 0.500 0.500 Mg
0.000 0.000 0.000 As
```

Properties
Energy in hartree per atom: -0.1238
Symmetry: P4/mmm, No. 123
Density of states at the Fermi level in states/eV/f.u.: 2.0
Spin magnetization in μB/f.u.: 0.000
Formation energy without anion corrections in eV per atom: 0.413

(6)
DFT (PBE) results for crystalline BMoAs2P at its relaxed geometry.

POSCAR file:
```
BMoAs2P
1.0
4.856 0.000 0.000
0.000 3.602 0.000
0.000 0.000 4.856
Mo B P As
1 1 1 2
Direct
0.500 0.500 0.500 Mo
0.000 0.500 0.000 B
0.000 0.000 0.000 P
0.500 0.000 0.000 As
0.000 0.000 0.500 As
```

Properties
Energy in hartree per atom: -0.1967
Symmetry: P4/mmm, No. 123
Density of states at the Fermi level in states/eV/f.u.: 4.3
Spin magnetization in μB/f.u.: 2.387
DFT formation energy in kcal/mol of atoms: 25.1

(7)
DFT (PBE) results for crystalline Cr2ReRu at its relaxed geometry.

POSCAR file:
```
Cr2ReRu
1.0
4.107 0.000 0.000
0.000 2.620 -0.008
0.000 0.891 4.956
Cr Re Ru
2 1 1
Direct
0.000 0.435 0.505 Cr
0.000 0.065 0.995 Cr
0.500 0.250 0.250 Re
0.500 0.750 0.750 Ru
```

Properties
Energy in hartree per atom: -0.3698
Symmetry: P2/m, No. 10
Density of states at the Fermi level in states/eV/f.u.: 5.2
Spin magnetization in μB/f.u.: 0.000
DFT formation energy in kcal/mol of atoms: 4.2

(8)
DFT (PBE) results for crystalline Li2LaSi at its relaxed geometry.

POSCAR file:
```
Li2LaSi
1.0
3.539 0.000 0.000
0.000 3.539 0.000
0.000 0.000 6.699
Li La Si
2 1 1
Direct
0.000 0.000 0.431 Li
0.000 0.000 0.069 Li
0.500 0.500 0.750 La
0.500 0.500 0.250 Si
```

Properties
Energy in hartree per atom: -0.1294
Symmetry: P4/mmm, No. 123
Density of states at the Fermi level in states/eV/f.u.: 3.4
Spin magnetization in μB/f.u.: 0.011
Formation energy without anion corrections in eV per atom: 0.023

(9)
DFT (PBE) results for crystalline LaYBr4 at its relaxed geometry.

POSCAR file:
```
LaYBr4
1.0
0.000 4.498 4.498
4.498 0.000 4.498
4.498 4.498 0.000
Br La Y
4 1 1
Direct
0.375 0.875 0.375 Br
0.875 0.375 0.375 Br
0.375 0.375 0.875 Br
0.375 0.375 0.375 Br
0.750 0.750 0.750 La
0.000 0.000 0.000 Y
```

Properties
Energy in hartree per atom: -0.1216
Symmetry: F-43m, No. 216
Density of states at the Fermi level in states/eV/f.u.: 10.1
Spin magnetization in μB/f.u.: 2.191
Formation energy without anion corrections in eV per atom: -0.295

(10)
DFT (PBE) results for crystalline Ac3Zn2Ni3 at its relaxed geometry.

POSCAR file:
```
Ac3Zn2Ni3
1.0
-3.007 0.445 -2.804
-2.671 -1.628 5.655
-1.173 14.006 3.479
Zn Ac Ni
4 6 6
Direct
0.783 0.565 0.576 Zn
0.217 0.435 0.076 Zn
0.783 0.565 0.924 Zn
0.217 0.435 0.424 Zn
0.079 0.158 0.888 Ac
0.649 0.298 0.250 Ac
0.079 0.158 0.612 Ac
0.351 0.702 0.750 Ac
0.921 0.842 0.112 Ac
0.921 0.842 0.388 Ac
0.318 0.637 0.250 Ni
0.400 0.801 0.962 Ni
0.400 0.801 0.538 Ni
0.600 0.199 0.462 Ni
0.600 0.199 0.038 Ni
0.682 0.363 0.750 Ni
```

Properties
Energy in hartree per atom: -0.1586
Symmetry: Cmcm, No. 63
Density of states at the Fermi level in states/eV/f.u.: 4.7
Spin magnetization in μB/f.u.: 0.000
DFT formation energy in kcal/mol of atoms: -6.7

(11)
DFT (PBE) results for crystalline ThAlAu2 at its relaxed geometry.

POSCAR file:
```
ThAlAu2
1.0
4.418 0.000 -1.041
0.000 9.141 0.000
-0.272 0.000 8.742
Al Th Au
4 4 8
Direct
0.149 0.019 0.298 Al
0.149 0.481 0.298 Al
0.851 0.981 0.702 Al
0.851 0.519 0.702 Al
0.500 0.500 0.000 Th
0.709 0.250 0.419 Th
0.500 0.000 0.000 Th
0.291 0.750 0.581 Th
0.933 0.750 0.866 Au
0.685 0.907 0.371 Au
0.094 0.750 0.187 Au
0.067 0.250 0.134 Au
0.315 0.407 0.629 Au
0.315 0.093 0.629 Au
0.685 0.593 0.371 Au
0.906 0.250 0.813 Au
```

Properties
Energy in hartree per atom: -0.1862
Symmetry: Cmcm, No. 63
Density of states at the Fermi level in states/eV/f.u.: 2.8
Spin magnetization in μB/f.u.: 0.000
DFT formation energy in kcal/mol of atoms: -14.7

(12)
DFT (PBE) results for crystalline BaBe3Sn at its relaxed geometry.

POSCAR file:
```
BaBe3Sn
1.0
-2.356 -4.228 2.065
4.696 -2.252 0.748
0.283 2.178 4.781
Ba Be Sn
1 3 1
Direct
0.000 0.000 0.000 Ba
0.000 0.000 0.500 Be
0.000 0.500 0.000 Be
0.500 0.000 0.000 Be
0.500 0.500 0.500 Sn
```

Properties
Energy in hartree per atom: -0.0518
Symmetry: Pm-3m, No. 221
Density of states at the Fermi level in states/eV/f.u.: 5.0
Spin magnetization in μB/f.u.: 0.000
DFT formation energy in kcal/mol of atoms: 46.4

(13)
DFT (PBE) results for crystalline Ba12MgGa6 at its relaxed geometry.

POSCAR file:
```
Ba12MgGa6
1.0
10.187 -0.988 -1.183
-2.521 9.920 -1.183
-2.521 -2.937 9.549
Ba Mg Ga
12 1 6
Direct
0.867 0.617 0.557 Ba
0.677 0.978 0.150 Ba
0.323 0.022 0.850 Ba
0.617 0.557 0.867 Ba
0.383 0.443 0.133 Ba
0.022 0.850 0.323 Ba
0.133 0.383 0.443 Ba
0.443 0.133 0.383 Ba
0.557 0.867 0.617 Ba
0.978 0.150 0.677 Ba
0.850 0.323 0.022 Ba
0.150 0.677 0.978 Ba
0.000 0.000 0.000 Mg
0.643 0.303 0.213 Ga
0.303 0.213 0.643 Ga
0.357 0.697 0.787 Ga
0.787 0.357 0.697 Ga
0.697 0.787 0.357 Ga
0.213 0.643 0.303 Ga
```

Properties
Energy in hartree per atom: -0.0866
Symmetry: R-3, No. 148
Density of states at the Fermi level in states/eV/f.u.: 29.0
Spin magnetization in μB/f.u.: 0.001
DFT formation energy in kcal/mol of atoms: -2.3

(14)
DFT (PBE) results for crystalline Ca2Hg4Bi3 at its relaxed geometry.

POSCAR file:
```
Ca2Hg4Bi3
1.0
4.674 0.000 1.000
2.088 5.061 1.664
0.122 0.025 10.849
Hg Bi Ca
4 3 2
Direct
0.669 0.551 0.110 Hg
0.331 0.449 0.890 Hg
0.010 0.656 0.325 Hg
0.990 0.344 0.675 Hg
0.669 0.215 0.447 Bi
0.000 0.000 0.000 Bi
0.331 0.785 0.553 Bi
0.340 0.107 0.213 Ca
0.660 0.893 0.787 Ca
```

Properties
Energy in hartree per atom: -0.0816
Symmetry: C2/m, No. 12
Density of states at the Fermi level in states/eV/f.u.: 3.1
Spin magnetization in μB/f.u.: 0.000
DFT formation energy in kcal/mol of atoms: -8.1

(15)
DFT (PBE) results for crystalline LaNdLuZr at its relaxed geometry.

POSCAR file:
```
LaNdLuZr
1.0
5.541 0.000 0.000
2.771 4.799 0.000
2.771 1.600 4.525
Nd Zr Lu La
1 1 1 1
Direct
0.000 0.000 0.000 Nd
0.250 0.250 0.250 Zr
0.750 0.750 0.750 Lu
0.500 0.500 0.500 La
```

Properties
Energy in hartree per atom: -0.2022
Symmetry: F-43m, No. 216
Density of states at the Fermi level in states/eV/f.u.: 7.0
Spin magnetization in μB/f.u.: 0.003
DFT formation energy in kcal/mol of atoms: 4.4

(16)
DFT (PBE) results for crystalline BaTmMo2N6 at its relaxed geometry.

POSCAR file:
```
BaTmMo2N6
1.0
-1.881 5.212 3.579
-7.077 -1.733 2.735
2.867 -1.168 7.140
N Mo Tm Ba
12 4 2 2
Direct
0.875 0.390 0.808 N
0.140 0.623 0.700 N
0.625 0.192 0.610 N
0.640 0.700 0.623 N
0.705 0.741 0.001 N
0.375 0.808 0.390 N
0.125 0.610 0.192 N
0.860 0.377 0.300 N
0.205 0.001 0.741 N
0.795 0.999 0.259 N
0.295 0.259 0.999 N
0.360 0.300 0.377 N
0.334 0.779 0.623 Mo
0.166 0.377 0.221 Mo
0.666 0.221 0.377 Mo
0.834 0.623 0.779 Mo
0.750 0.715 0.285 Tm
0.250 0.285 0.715 Tm
0.750 0.100 0.900 Ba
0.250 0.900 0.100 Ba
```

Properties
Energy in hartree per atom: -0.3071
Symmetry: C2/c, No. 15
Density of states at the Fermi level in states/eV/f.u.: 4.4
Spin magnetization in μB/f.u.: 1.013
Formation energy without anion corrections in eV per atom: -0.556

(17)
DFT (PBE) results for crystalline TcRu2Se at its relaxed geometry.

POSCAR file:
```
TcRu2Se
1.0
-0.633 4.595 7.131
-2.973 5.498 5.770
-3.056 3.097 7.310
Tc Se Ru
1 1 2
Direct
0.751 0.751 0.751 Tc
0.500 0.500 0.500 Se
0.000 0.000 0.000 Ru
0.248 0.248 0.248 Ru
```

Properties
Energy in hartree per atom: -0.2876
Symmetry: R3m, No. 160
Density of states at the Fermi level in states/eV/f.u.: 3.8
Spin magnetization in μB/f.u.: 0.000
Formation energy without anion corrections in eV per atom: 0.273

(18)
DFT (PBE) results for crystalline CeMg4Se6 at its relaxed geometry.

POSCAR file:
```
CeMg4Se6
1.0
3.933 0.000 0.000
-1.966 6.429 0.000
0.000 0.000 19.612
Mg Se Ce
8 12 2
Direct
0.860 0.720 0.961 Mg
0.596 0.192 0.875 Mg
0.140 0.280 0.461 Mg
0.596 0.192 0.625 Mg
0.404 0.808 0.125 Mg
0.404 0.808 0.375 Mg
0.140 0.280 0.039 Mg
0.860 0.720 0.539 Mg
0.500 0.000 0.000 Se
0.771 0.542 0.413 Se
0.500 0.000 0.500 Se
0.229 0.458 0.587 Se
0.048 0.097 0.162 Se
0.048 0.097 0.338 Se
0.684 0.367 0.750 Se
0.952 0.903 0.662 Se
0.771 0.542 0.087 Se
0.229 0.458 0.913 Se
0.316 0.633 0.250 Se
0.952 0.903 0.838 Se
0.654 0.307 0.250 Ce
0.346 0.693 0.750 Ce
```

Properties
Energy in hartree per atom: -0.1596
Symmetry: Cmcm, No. 63
Density of states at the Fermi level in states/eV/f.u.: 3.8
Spin magnetization in μB/f.u.: 0.140
Formation energy without anion corrections in eV per atom: -1.324

(19)
DFT (PBE) results for crystalline VRuW at its relaxed geometry.

POSCAR file:
```
VRuW
1.0
-0.420 -2.543 1.657
3.031 -0.442 0.089
0.501 5.004 7.805
Ru W V
2 2 2
Direct
0.000 0.000 0.566 Ru
0.500 0.500 0.066 Ru
0.000 0.000 0.243 W
0.500 0.500 0.743 W
0.000 0.000 0.902 V
0.500 0.500 0.402 V
```

Properties
Energy in hartree per atom: -0.3861
Symmetry: I4mm, No. 107
Density of states at the Fermi level in states/eV/f.u.: 3.1
Spin magnetization in μB/f.u.: 0.000
DFT formation energy in kcal/mol of atoms: -1.3

(20)
DFT (PBE) results for crystalline KPSO2 at its relaxed geometry.

POSCAR file:
```
KPSO2
1.0
-2.590 0.651 -3.164
0.060 -4.045 -0.882
-3.503 -0.648 2.734
O S K P
2 1 1 1
Direct
0.500 0.000 0.000 O
0.000 0.500 0.000 O
0.000 0.000 0.000 S
0.500 0.500 0.500 K
0.000 0.000 0.500 P
```

Properties
Energy in hartree per atom: -0.1441
Symmetry: P4/mmm, No. 123
Density of states at the Fermi level in states/eV/f.u.: 2.0
Spin magnetization in μB/f.u.: 1.602
Formation energy without anion corrections in eV per atom: 0.188

(21)
DFT (PBE) results for crystalline HgHWSe2 at its relaxed geometry.

POSCAR file:
```
HgHWSe2
1.0
5.332 0.000 0.000
0.000 5.399 0.000
0.000 0.000 5.332
H W Se Hg
1 1 2 1
Direct
0.500 0.500 0.500 H
0.000 0.500 0.000 W
0.500 0.000 0.000 Se
0.000 0.000 0.500 Se
0.000 0.000 0.000 Hg
```

Properties
Energy in hartree per atom: -0.0973
Symmetry: P4/mmm, No. 123
Density of states at the Fermi level in states/eV/f.u.: 5.5
Spin magnetization in μB/f.u.: 4.755

(22)
DFT (PBE) results for crystalline LaMn2Al at its relaxed geometry.

POSCAR file:
```
LaMn2Al
1.0
-0.070 -0.319 3.202
-2.786 -1.598 -0.221
3.678 -6.336 -0.552
Mn Al La
2 1 1
Direct
0.000 0.000 0.060 Mn
0.000 0.000 0.440 Mn
0.500 0.500 0.250 Al
0.500 0.500 0.750 La
```

Properties
Energy in hartree per atom: -0.2430
Symmetry: P4/mmm, No. 123
Density of states at the Fermi level in states/eV/f.u.: 3.9
Spin magnetization in μB/f.u.: 6.612
DFT formation energy in kcal/mol of atoms: 3.2

(23)
DFT (PBE) results for crystalline CrCdPb2 at its relaxed geometry.

POSCAR file:
```
CrCdPb2
1.0
-2.219 -2.414 -0.815
0.448 -1.434 3.027
-6.544 4.904 3.292
Pb Cd Cr
2 1 1
Direct
0.000 0.000 0.952 Pb
0.500 0.500 0.275 Pb
0.000 0.000 0.540 Cd
0.500 0.500 0.733 Cr
```

Properties
Energy in hartree per atom: -0.1537
Symmetry: P4mm, No. 99
Density of states at the Fermi level in states/eV/f.u.: 2.4
Spin magnetization in μB/f.u.: 4.115
DFT formation energy in kcal/mol of atoms: 7.1

(24)
DFT (PBE) results for crystalline PaGe2Pd at its relaxed geometry.

POSCAR file:
```
PaGe2Pd
1.0
4.246 0.000 -0.987
-0.949 7.506 -4.084
0.010 0.342 9.676
Ge Pa Pd
8 4 4
Direct
0.696 0.345 0.393 Ge
0.928 0.428 0.856 Ge
0.072 0.072 0.144 Ge
0.304 0.952 0.607 Ge
0.928 0.928 0.856 Ge
0.696 0.048 0.393 Ge
0.304 0.655 0.607 Ge
0.072 0.572 0.144 Ge
0.500 0.256 0.000 Pa
0.500 0.744 0.000 Pa
0.700 0.700 0.400 Pa
0.300 0.300 0.600 Pa
0.150 0.400 0.300 Pd
0.850 0.101 0.700 Pd
0.850 0.600 0.700 Pd
0.150 0.899 0.300 Pd
```

Properties
Energy in hartree per atom: -0.2385
Symmetry: Immm, No. 71
Density of states at the Fermi level in states/eV/f.u.: 4.5
Spin magnetization in μB/f.u.: 0.497
DFT formation energy in kcal/mol of atoms: -11.7